# 1
! K2ReBr PBE relaxed; values from VASP
&SYSTEM
  ibrav = 0, nat = 4, ntyp = 3
/
ATOMIC_SPECIES
Br 79.90 Br.upf
K 39.10 K.upf
Re 186.21 Re.upf
CELL_PARAMETERS angstrom
3.408 0.000 0.000
0.000 6.115 0.000
0.000 0.000 6.115
ATOMIC_POSITIONS angstrom
Br 1.704 0.000 3.057
K 0.000 3.057 3.057
K 0.000 0.000 0.000
Re 1.704 3.057 0.000
! SG: No. 123
! ΔE_f (raw), kJ/mol of atoms: 71.2
! Theoretical density, g/cm³: 4.49
! E above lowest polymorph, meV per atom: 913

# 2
! PmScZnAu PBE relaxed; values from VASP
&SYSTEM
  ibrav = 0, nat = 4, ntyp = 4
/
ATOMIC_SPECIES
Pm 145.00 Pm.upf
Zn 65.41 Zn.upf
Sc 44.96 Sc.upf
Au 196.97 Au.upf
CELL_PARAMETERS angstrom
3.522 0.000 0.000
0.000 3.522 0.000
0.000 0.000 7.063
ATOMIC_POSITIONS angstrom
Pm 1.761 1.761 4.314
Zn 0.000 0.000 6.307
Sc 1.761 1.761 0.748
Au 0.000 0.000 2.246
! Formation enthalpy at 0 K, kJ/mol of atoms: -53.90
! SG: No. 99
! Theoretical density, g/cm³: 8.57
! E above lowest polymorph, meV per atom: 0

# 3
! CeDyAgPd PBE relaxed; values from VASP
&SYSTEM
  ibrav = 0, nat = 4, ntyp = 4
/
ATOMIC_SPECIES
Ce 140.12 Ce.upf
Ag 107.87 Ag.upf
Dy 162.50 Dy.upf
Pd 106.42 Pd.upf
CELL_PARAMETERS angstrom
-0.509 0.076 -5.088
1.595 -3.979 -2.789
-3.409 -3.058 -2.275
ATOMIC_POSITIONS angstrom
Ce 0.000 0.000 0.000
Ag -1.742 -5.221 -7.613
Dy -1.162 -3.481 -5.076
Pd -0.581 -1.740 -2.538
! Formation enthalpy at 0 K, kJ/mol of atoms: -42.50
! SG: No. 216
! Theoretical density, g/cm³: 9.08

# 4
! Li2RhCl PBE relaxed; values from VASP
&SYSTEM
  ibrav = 0, nat = 4, ntyp = 3
/
ATOMIC_SPECIES
Li 6.94 Li.upf
Rh 102.91 Rh.upf
Cl 35.45 Cl.upf
CELL_PARAMETERS angstrom
-1.248 0.561 -2.577
-0.090 -2.858 -0.579
-6.357 -0.405 2.991
ATOMIC_POSITIONS angstrom
Li -6.142 -0.391 2.890
Li -3.393 -0.216 1.596
Rh -2.258 -1.250 -0.830
Cl -5.437 -1.452 0.665
! SG: No. 123
! ΔE_f (raw), kJ/mol of atoms: -51.9
! Theoretical density, g/cm³: 4.22
! E above lowest polymorph, meV per atom: 83

# 5
! NaLaTl4 PBE relaxed; values from VASP
&SYSTEM
  ibrav = 0, nat = 6, ntyp = 3
/
ATOMIC_SPECIES
Tl 204.38 Tl.upf
Na 22.99 Na.upf
La 138.91 La.upf
CELL_PARAMETERS angstrom
-5.949 1.697 -1.533
-2.525 -1.889 -5.539
-4.643 -4.366 -0.062
ATOMIC_POSITIONS angstrom
Tl -5.876 -0.664 -4.429
Tl -6.936 -1.904 -1.687
Tl -8.200 -2.849 -4.460
Tl -5.222 -3.698 -3.692
Na -3.279 -1.139 -1.783
La 0.000 0.000 0.000
! Formation enthalpy at 0 K, kJ/mol of atoms: -8.93
! SG: No. 216
! Theoretical density, g/cm³: 8.88
! E above lowest polymorph, meV per atom: 99

# 6
! SrY2B2 PBE relaxed; values from VASP
&SYSTEM
  ibrav = 0, nat = 10, ntyp = 3
/
ATOMIC_SPECIES
Y 88.91 Y.upf
B 10.81 B.upf
Sr 87.62 Sr.upf
CELL_PARAMETERS angstrom
7.929 0.000 0.000
0.000 7.929 0.000
0.000 0.000 3.177
ATOMIC_POSITIONS angstrom
Y 5.020 1.055 0.000
Y 1.055 2.909 0.000
Y 2.909 6.874 0.000
Y 6.874 5.020 0.000
B 6.562 2.598 1.589
B 2.598 1.367 1.589
B 5.332 6.562 1.589
B 1.367 5.332 1.589
Sr 0.000 0.000 0.000
Sr 3.965 3.965 0.000
! Formation enthalpy at 0 K, kJ/mol of atoms: 44.99
! SG: No. 127
! Theoretical density, g/cm³: 4.77
! E above lowest polymorph, meV per atom: 155

# 7
! PmAlCo PBE relaxed; values from VASP
&SYSTEM
  ibrav = 0, nat = 3, ntyp = 3
/
ATOMIC_SPECIES
Co 58.93 Co.upf
Pm 145.00 Pm.upf
Al 26.98 Al.upf
CELL_PARAMETERS angstrom
-1.682 1.357 -3.346
-3.697 0.311 1.984
2.660 3.259 -0.015
ATOMIC_POSITIONS angstrom
Co -0.280 0.226 -0.558
Pm -2.699 2.198 -0.913
Al 0.261 2.503 0.094
! Formation enthalpy at 0 K, kJ/mol of atoms: -23.57
! SG: No. 187
! Theoretical density, g/cm³: 6.28
! E above lowest polymorph, meV per atom: 137

# 8
! Ac2Ga6Co PBE relaxed; values from VASP
&SYSTEM
  ibrav = 0, nat = 9, ntyp = 3
/
ATOMIC_SPECIES
Ga 69.72 Ga.upf
Ac 227.00 Ac.upf
Co 58.93 Co.upf
CELL_PARAMETERS angstrom
5.609 0.000 3.238
1.870 5.288 3.238
0.000 0.000 6.476
ATOMIC_POSITIONS angstrom
Ga 2.917 3.807 7.901
Ga 2.917 3.807 5.052
Ga 5.384 3.807 6.476
Ga 4.562 1.481 7.901
Ga 4.562 1.481 5.052
Ga 2.094 1.481 6.476
Ac 1.870 1.322 3.238
Ac 5.609 3.966 9.715
Co 0.000 0.000 0.000
! Formation enthalpy at 0 K, kJ/mol of atoms: -42.67
! SG: No. 225
! Theoretical density, g/cm³: 8.05